First-principles (GGA-PBE) data for a relaxed structure of BeTlZn2O4, as listed in Alexandria via LeMat-Bulk.

Properties
Uncorrected formation energy, eV per atom: -1.4268
Size of the total moment, μB/cell: 0.0
VASP energy, eV for the cell shown: -79.77
V, Å³/atom: 12.20

Unit cell a=4.807 b=4.807 c=8.449 alpha=90.00 beta=90.00 gamma=90.00
Space group I-42m (No. 121)
Symmetry-distinct sites (fractional):
Be1 0.000 0.000 0.000
Tl1 0.000 0.000 0.500
Zn1 0.000 0.500 0.250
O1 0.190 0.190 0.874